# KPaVO5 PBE with a Hubbard U relaxed
# - Total magnetic moment: 0.12 μB/atom
# - Raw total energy: -128.822 eV/cell
data_KPaVO5
_chemical_formula_sum 'K2 Pa2 V2 O10'
_cell_length_a 6.2280
_cell_length_b 6.2280
_cell_length_c 8.0996
_cell_angle_alpha 104.48
_cell_angle_beta 104.48
_cell_angle_gamma 106.26
_space_group_name_H-M_alt 'P 1'
_space_group_IT_number 1
_space_group_name_Hall 'P 1'
loop_
_atom_site_label
_atom_site_fract_x
_atom_site_fract_y
_atom_site_fract_z
_atom_site_occupancy
K1 0.1684 0.8316 0.7500 1
K2 0.8316 0.1684 0.2500 1
Pa1 0.5000 0.5000 0.0000 1
Pa2 0.5000 0.5000 0.5000 1
V1 0.1835 0.8165 0.2500 1
V2 0.8165 0.1835 0.7500 1
O1 0.1213 0.2572 0.8952 1
O2 0.2148 0.6236 0.3860 1
O3 0.2572 0.1213 0.3952 1
O4 0.3764 0.7852 0.1140 1
O5 0.4326 0.5674 0.7500 1
O6 0.5674 0.4326 0.2500 1
O7 0.6236 0.2148 0.8860 1
O8 0.7428 0.8787 0.6048 1
O9 0.7852 0.3764 0.6140 1
O10 0.8787 0.7428 0.1048 1